Computed, not measured: a geometry-optimized SiTcAu4 structure at the PBE-GGA level of DFT.

Cell: 5.469 5.469 5.469 Å, 60.00 60.00 60.00°
Site moments in Bohr magnetons follow the coordinates.
Fractional coordinates of all 6 atoms:
Tc1 0.000 0.000 0.000  3.18
Si1 0.750 0.750 0.750  -0.07
Au1 0.375 0.375 0.875  0.06
Au2 0.375 0.375 0.375  0.06
Au3 0.875 0.375 0.375  0.06
Au4 0.375 0.875 0.375  0.06

Computed properties:
total magnetization = 3.61 Bohr magnetons per cell
ΔE_f (raw) = 4.1 eV/f.u.
mass density = 13.1 g cm⁻³
final energy = -4.134 eV/atom



Computed, not measured: a geometry-optimized LuZr2C structure at the PBE-GGA level of DFT.

Cell: 3.358 3.358 8.530 Å, 78.65 78.65 60.00°
Fractional coordinates of all 4 atoms:
C1 0.000 0.000 0.000
Zr1 0.282 0.282 0.154
Zr2 0.718 0.718 0.846
Lu1 0.500 0.500 0.500

Computed properties:
total magnetization = 0.03 Bohr magnetons per cell
mass density = 7.6 g cm⁻³
ΔH_f (0 K) = -383 meV per atom
final energy = -8.094 eV/atom



Among the records above, which one has the highest total magnetization? SiTcAu4



Which of these has the lowest total magnetization? LuZr2C